A geometry-optimized TlCdMo structure, computed with GGA-PBE.

abc: 3.0642 3.0642 7.6552
angles: 90.00 90.00 120.00
With the nearest neighbours (Å) after each atom.
Fractional coordinates of all 3 atoms:
Tl 0.0000 0.0000 0.0000  3 Mo 3.03, 6 Tl 3.06, 3 Cd 3.34
Cd 0.3333 0.6667 0.3703  3 Mo 2.95, 6 Cd 3.06
Mo 0.6667 0.3333 0.6784  3 Cd 2.95, 3 Tl 3.03, 6 Mo 3.06

For the total energy, the calculation gives -12.28 eV for the cell shown. The energy relative to the elements is 0.61 eV/atom. Its crystal system is trigonal. As for the space-group type: No. 156. Its density of states at the Fermi level is 1.61 states/eV/f.u. The value obtained for the energy above the most stable polymorph in this dataset is 0.0000 eV per atom.

=====

A geometry-optimized TlCd2Mo structure, computed with GGA-PBE.

abc: 5.7437 5.7437 5.7437
angles: 138.38 138.38 60.32
With the nearest neighbours (Å) after each atom.
Fractional coordinates of all 4 atoms:
Tl 0.0000 0.0000 0.0000  4 Mo 2.89, 8 Cd 3.21
Cd 0.2500 0.7500 0.5000  4 Cd 2.89, 4 Tl 3.21, 4 Mo 3.21
Cd 0.7500 0.2500 0.5000  4 Cd 2.89, 4 Tl 3.21, 4 Mo 3.21
Mo 0.5000 0.5000 0.0000  4 Tl 2.89, 8 Cd 3.21

For the total energy, the calculation gives -12.92 eV for the cell shown. The energy relative to the elements is 0.53 eV/atom. Its crystal system is tetragonal. As for the space-group type: No. 139. Its density of states at the Fermi level is 1.43 states/eV/f.u. The value obtained for the energy above the most stable polymorph in this dataset is 0.1217 eV per atom.

=====

A geometry-optimized TlCdMo structure, computed with GGA-PBE.

abc: 7.6642 7.6642 7.6642
angles: 157.91 157.91 31.44
With the nearest neighbours (Å) after each atom.
Fractional coordinates of all 3 atoms:
Tl 0.0000 0.0000 0.0000  4 Tl 2.94, 4 Mo 3.15
Cd 0.3039 0.3039 0.0000  4 Cd 2.94, 4 Mo 2.96
Mo 0.6605 0.6605 0.0000  4 Mo 2.94, 4 Cd 2.96, 4 Tl 3.15

For the total energy, the calculation gives -12.24 eV for the cell shown. The energy relative to the elements is 0.62 eV/atom. Its crystal system is tetragonal. As for the space-group type: No. 107. Its density of states at the Fermi level is 2.00 states/eV/f.u. The value obtained for the energy above the most stable polymorph in this dataset is 0.0125 eV per atom.

=====

A geometry-optimized Tl2CdMo structure, computed with GGA-PBE.

abc: 3.7175 3.7175 6.3062
angles: 90.00 90.00 90.00
With the nearest neighbours (Å) after each atom.
Fractional coordinates of all 4 atoms:
Tl 0.0000 0.0000 0.2344  1 Tl 2.96, 4 Mo 3.02, 4 Cd 3.12
Tl 0.0000 0.0000 0.7656  1 Tl 2.96, 4 Mo 3.02, 4 Cd 3.12
Cd 0.5000 0.5000 0.5000  8 Tl 3.12, 2 Mo 3.15
Mo 0.5000 0.5000 0.0000  8 Tl 3.02, 2 Cd 3.15

For the total energy, the calculation gives -13.80 eV for the cell shown. The energy relative to the elements is 0.67 eV/atom. Its crystal system is tetragonal. As for the space-group type: No. 123. Its density of states at the Fermi level is 3.58 states/eV/f.u. The value obtained for the energy above the most stable polymorph in this dataset is 0.1581 eV per atom.

=====

A geometry-optimized TlCdMo2 structure, computed with GGA-PBE.

abc: 3.4567 4.5390 4.7323
angles: 90.00 90.00 90.00
With the nearest neighbours (Å) after each atom.
Fractional coordinates of all 4 atoms:
Tl 0.0000 0.0000 0.0000  4 Cd 2.85, 4 Mo 2.93
Cd 0.5000 0.5000 0.0000  4 Tl 2.85, 4 Mo 2.93
Mo 0.0000 0.5000 0.5000  4 Mo 2.85, 4 Cd 2.93
Mo 0.5000 0.0000 0.5000  4 Mo 2.85, 4 Tl 2.93

For the total energy, the calculation gives -22.20 eV for the cell shown. The energy relative to the elements is 0.69 eV/atom. Its crystal system is orthorhombic. As for the space-group type: No. 47. Its density of states at the Fermi level is 3.04 states/eV/f.u. The value obtained for the energy above the most stable polymorph in this dataset is 0.2767 eV per atom.

=====

A geometry-optimized Tl2CdMo structure, computed with GGA-PBE.

abc: 3.0749 3.0749 10.0548
angles: 90.00 90.00 105.80
With the nearest neighbours (Å) after each atom.
Fractional coordinates of all 4 atoms:
Tl 0.0000 0.0000 0.2271  2 Mo 2.94, 4 Tl 3.07
Tl 0.0000 0.0000 0.7729  2 Mo 2.94, 4 Tl 3.07
Cd 0.5000 0.5000 0.5000  4 Cd 3.07, 4 Tl 3.31
Mo 0.5000 0.5000 0.0000  4 Tl 2.94, 4 Mo 3.07

For the total energy, the calculation gives -14.00 eV for the cell shown. The energy relative to the elements is 0.62 eV/atom. Its crystal system is orthorhombic. As for the space-group type: No. 65. Its density of states at the Fermi level is 3.01 states/eV/f.u. The value obtained for the energy above the most stable polymorph in this dataset is 0.1077 eV per atom.

=====

A geometry-optimized TlCdMo2 structure, computed with GGA-PBE.

abc: 2.8771 4.8128 5.5723
angles: 90.00 99.06 90.00
With the nearest neighbours (Å) after each atom.
Fractional coordinates of all 4 atoms:
Tl 0.0000 0.0000 0.0000  2 Tl 2.88, 2 Cd 2.93, 4 Mo 2.96
Cd 0.5000 0.0000 0.5000  2 Cd 2.88, 4 Mo 2.91, 2 Tl 2.93
Mo 0.1880 0.5000 0.7206  1 Mo 2.53
Mo 0.8120 0.5000 0.2794  1 Mo 2.53

For the total energy, the calculation gives -22.34 eV for the cell shown. The energy relative to the elements is 0.65 eV/atom. Its crystal system is monoclinic. As for the space-group type: No. 10. Its density of states at the Fermi level is 2.46 states/eV/f.u. The value obtained for the energy above the most stable polymorph in this dataset is 0.2406 eV per atom.

=====

A geometry-optimized Tl2CdMo structure, computed with GGA-PBE.

abc: 10.0257 10.0257 10.0257
angles: 18.58 18.58 18.58
With the nearest neighbours (Å) after each atom.
Fractional coordinates of all 4 atoms:
Tl 0.2447 0.2447 0.2447  3 Mo 2.97, 3 Cd 3.22, 6 Tl 3.24
Tl 0.7553 0.7553 0.7553  3 Mo 2.97, 3 Cd 3.22, 6 Tl 3.24
Cd 0.0000 0.0000 0.0000  6 Tl 3.22, 6 Cd 3.24
Mo 0.5000 0.5000 0.5000  6 Tl 2.97, 6 Mo 3.24

For the total energy, the calculation gives -14.11 eV for the cell shown. The energy relative to the elements is 0.59 eV/atom. Its crystal system is trigonal. As for the space-group type: No. 166. Its density of states at the Fermi level is 3.54 states/eV/f.u. The value obtained for the energy above the most stable polymorph in this dataset is 0.0795 eV per atom.

=====

A geometry-optimized TlCdMo2 structure, computed with GGA-PBE.

abc: 6.0733 6.0733 6.0733
angles: 102.17 102.17 125.35
With the nearest neighbours (Å) after each atom.
Fractional coordinates of all 8 atoms:
Tl 0.0000 0.0000 0.0000  4 Mo 2.78, 2 Cd 2.79
Tl 0.7500 0.2500 0.5000  4 Mo 2.78, 2 Cd 2.79
Cd 0.2500 0.7500 0.5000  2 Tl 2.79, 4 Mo 2.79
Cd 0.5000 0.5000 0.0000  2 Tl 2.79, 4 Mo 2.79
Mo 0.1243 0.6250 0.9993  2 Tl 2.78, 2 Mo 2.79, 2 Cd 2.79
Mo 0.3750 0.3743 0.4993  2 Tl 2.78, 2 Mo 2.79, 2 Cd 2.79
Mo 0.6257 0.1250 0.0007  2 Tl 2.78, 2 Mo 2.79, 2 Cd 2.79
Mo 0.8750 0.8757 0.5007  2 Tl 2.78, 2 Mo 2.79, 2 Cd 2.79

For the total energy, the calculation gives -40.33 eV for the cell shown. The energy relative to the elements is 1.19 eV/atom. Its crystal system is tetragonal. As for the space-group type: No. 122. Its density of states at the Fermi level is 4.74 states/eV/f.u. The value obtained for the energy above the most stable polymorph in this dataset is 0.7849 eV per atom.

=====

A geometry-optimized Tl2CdMo structure, computed with GGA-PBE.

abc: 6.0495 6.0495 5.2094
angles: 105.78 105.78 29.12
With the nearest neighbours (Å) after each atom.
Fractional coordinates of all 4 atoms:
Tl 0.0000 0.0000 0.0000  2 Tl 3.04, 4 Cd 3.07-3.12, 3 Mo 3.08-3.32
Tl 0.2128 0.2128 0.6251  4 Mo 2.96-3.09, 1 Cd 3.01, 2 Tl 3.04
Cd 0.4379 0.4379 0.4547  2 Mo 2.91, 5 Tl 3.01-3.12, 2 Cd 3.04
Mo 0.7379 0.7379 0.1265  2 Cd 2.91, 6 Tl 2.96-3.09, 2 Mo 3.04

For the total energy, the calculation gives -14.21 eV for the cell shown. The energy relative to the elements is 0.57 eV/atom. Its crystal system is monoclinic. As for the space-group type: No. 8. Its density of states at the Fermi level is 2.10 states/eV/f.u. The value obtained for the energy above the most stable polymorph in this dataset is 0.0549 eV per atom.

=====

Copy entry 4 word for word.
A geometry-optimized Tl2CdMo structure, computed with GGA-PBE.

abc: 3.7175 3.7175 6.3062
angles: 90.00 90.00 90.00
With the nearest neighbours (Å) after each atom.
Fractional coordinates of all 4 atoms:
Tl 0.0000 0.0000 0.2344  1 Tl 2.96, 4 Mo 3.02, 4 Cd 3.12
Tl 0.0000 0.0000 0.7656  1 Tl 2.96, 4 Mo 3.02, 4 Cd 3.12
Cd 0.5000 0.5000 0.5000  8 Tl 3.12, 2 Mo 3.15
Mo 0.5000 0.5000 0.0000  8 Tl 3.02, 2 Cd 3.15

For the total energy, the calculation gives -13.80 eV for the cell shown. The energy relative to the elements is 0.67 eV/atom. Its crystal system is tetragonal. As for the space-group type: No. 123. Its density of states at the Fermi level is 3.58 states/eV/f.u. The value obtained for the energy above the most stable polymorph in this dataset is 0.1581 eV per atom.

=====

Which formula does entry 7 have? TlCdMo2

=====

Copy entry 1 word for word.
A geometry-optimized TlCdMo structure, computed with GGA-PBE.

abc: 3.0642 3.0642 7.6552
angles: 90.00 90.00 120.00
With the nearest neighbours (Å) after each atom.
Fractional coordinates of all 3 atoms:
Tl 0.0000 0.0000 0.0000  3 Mo 3.03, 6 Tl 3.06, 3 Cd 3.34
Cd 0.3333 0.6667 0.3703  3 Mo 2.95, 6 Cd 3.06
Mo 0.6667 0.3333 0.6784  3 Cd 2.95, 3 Tl 3.03, 6 Mo 3.06

For the total energy, the calculation gives -12.28 eV for the cell shown. The energy relative to the elements is 0.61 eV/atom. Its crystal system is trigonal. As for the space-group type: No. 156. Its density of states at the Fermi level is 1.61 states/eV/f.u. The value obtained for the energy above the most stable polymorph in this dataset is 0.0000 eV per atom.

=====

Which of these has the lowest energy relative to the elements? TlCd2Mo